# 1
DFT (GGA-PBEsol) results for crystalline TaPHCl2 at its relaxed geometry.

a b c (Å): 4.7987 4.8024 4.8024
angles (deg): 90.00 90.00 90.00
Last column: nearest neighbours and their distance in Å.
Atoms (fractional coordinates):
Cl  0.0000  0.0000  0.5000  2 Ta 2.40
Cl  0.0000  0.5000  0.0000  2 Ta 2.40
H  0.5000  0.5000  0.5000  8 Cl 3.39, 4 P 3.40
Ta  0.0000  0.0000  0.0000  2 P 2.40, 4 Cl 2.40
P  0.5000  0.0000  0.0000  2 Ta 2.40

electronic total energy	-4.965	eV per atom
space-group type	No. 123

# 2
DFT (GGA-PBEsol) results for crystalline MgBeIn at its relaxed geometry.

a b c (Å): 3.1224 3.9730 5.0217
angles (deg): 113.30 108.11 90.00
Last column: nearest neighbours and their distance in Å.
Atoms (fractional coordinates):
Mg  0.3366  0.3366  0.6731  5 In 2.77-2.97, 5 Be 2.86-2.93
Be  0.0074  0.0074  0.0148  5 In 2.84-3.05, 5 Mg 2.86-2.93, 2 Be 3.12
In  0.6560  0.6560  0.3121  5 Mg 2.77-2.97, 5 Be 2.84-3.05

electronic total energy	-2.576	eV per atom
relative energy among the computed polymorphs	0.000	eV per atom
space-group type	No. 44
ΔH_f (0 K)	7.5	kcal/mol of atoms

# 3
DFT (GGA-PBEsol) results for crystalline TlAg at its relaxed geometry.

a b c (Å): 3.1447 3.7048 7.5928
angles (deg): 90.00 90.00 90.00
Last column: nearest neighbours and their distance in Å.
Atoms (fractional coordinates):
Ag  0.5000  0.5000  0.4078  4 Ag 2.80, 4 Tl 3.05
Ag  0.0000  0.0000  0.5922  4 Ag 2.80, 4 Tl 3.05
Tl  0.0000  0.0000  0.1648  5 Ag 3.05-3.25, 2 Tl 3.14
Tl  0.5000  0.5000  0.8352  5 Ag 3.05-3.25, 2 Tl 3.14

electronic total energy	-2.873	eV per atom
space-group type	No. 59
ΔH_f (0 K)	2.2	kcal/mol of atoms

# 4
DFT (GGA-PBEsol) results for crystalline YZn2Os at its relaxed geometry.

a b c (Å): 4.5222 4.5222 4.5222
angles (deg): 60.00 60.00 60.00
Last column: nearest neighbours and their distance in Å.
Atoms (fractional coordinates):
Y  0.5000  0.5000  0.5000  8 Zn 2.77
Zn  0.2500  0.2500  0.2500  4 Os 2.77, 4 Y 2.77
Zn  0.7500  0.7500  0.7500  4 Os 2.77, 4 Y 2.77
Os  0.0000  0.0000  0.0000  8 Zn 2.77

electronic total energy	-5.581	eV per atom
relative energy among the computed polymorphs	0.000	eV per atom
space-group type	No. 225
ΔH_f (0 K)	-0.7	kcal/mol of atoms

# 5
DFT (GGA-PBEsol) results for crystalline CuTe2 at its relaxed geometry.

a b c (Å): 5.6384 5.6384 5.6384
angles (deg): 79.10 66.08 113.92
Last column: nearest neighbours and their distance in Å.
Atoms (fractional coordinates):
Cu  0.0000  0.7500  0.2500  8 Te 2.91
Cu  0.0000  0.2500  0.7500  8 Te 2.91
Te  0.5000  0.3326  0.8326  4 Cu 2.91, 5 Te 2.91-3.24
Te  0.1652  0.8326  0.6674  4 Cu 2.91, 5 Te 2.91-3.24
Te  0.5000  0.6674  0.1674  4 Cu 2.91, 5 Te 2.91-3.24
Te  0.8348  0.1674  0.3326  4 Cu 2.91, 5 Te 2.91-3.24

electronic total energy	-3.568	eV per atom
raw formation energy	0.227	eV/atom
space-group type	No. 140

# 6
DFT (GGA-PBEsol) results for crystalline Sb2HIrPb at its relaxed geometry.

a b c (Å): 4.9879 4.9879 5.6710
angles (deg): 90.00 90.00 90.00
Last column: nearest neighbours and their distance in Å.
Atoms (fractional coordinates):
Sb  0.5000  0.0000  0.0000  2 Ir 2.49
Sb  0.0000  0.5000  0.0000  2 Ir 2.49
H  0.5000  0.5000  0.5000  4 Pb 3.53, 8 Sb 3.78
Ir  0.0000  0.0000  0.0000  4 Sb 2.49
Pb  0.0000  0.0000  0.5000  2 Ir 2.84

electronic total energy	-4.406	eV per atom
space-group type	No. 123

# 7
DFT (GGA-PBEsol) results for crystalline AlIn4Re at its relaxed geometry.

a b c (Å): 5.6171 5.6171 5.6171
angles (deg): 60.00 60.00 60.00
Last column: nearest neighbours and their distance in Å.
Atoms (fractional coordinates):
Al  0.0000  0.0000  0.0000  12 In 3.29, 4 Re 3.44
In  0.3756  0.8731  0.3756  6 In 2.79-2.82
In  0.3756  0.3756  0.8731  6 In 2.79-2.82
In  0.3756  0.3756  0.3756  6 In 2.79-2.82
In  0.8731  0.3756  0.3756  6 In 2.79-2.82
Re  0.7500  0.7500  0.7500  12 In 3.29, 4 Al 3.44

electronic total energy	-4.004	eV per atom
space-group type	No. 216
ΔH_f (0 K)	20.5	kcal/mol of atoms

# 8
DFT (GGA-PBEsol) results for crystalline Mg2ScW at its relaxed geometry.

a b c (Å): 4.7233 4.7233 4.7233
angles (deg): 60.00 60.00 60.00
Last column: nearest neighbours and their distance in Å.
Atoms (fractional coordinates):
Sc  0.0000  0.0000  0.0000  8 Mg 2.89
Mg  0.2500  0.2500  0.2500  4 W 2.89, 4 Sc 2.89
Mg  0.7500  0.7500  0.7500  4 Sc 2.89, 4 W 2.89
W  0.5000  0.5000  0.5000  8 Mg 2.89

electronic total energy	-5.411	eV per atom
relative energy among the computed polymorphs	0.191	eV per atom
space-group type	No. 225
ΔH_f (0 K)	12.7	kcal/mol of atoms